--- 1 ---
Computed, not measured: Hf2ZrCo3 after structural relaxation at the PBE level of DFT.

Output
Size of the total moment: 0.000 μB per atom

Unit cell a=3.136 b=3.136 c=9.608 alpha=90.00 beta=90.00 gamma=90.00
Space group P4/mmm (No. 123)
One atom of each set of equivalent atoms:
1 Hf 0.000 0.000 0.166
2 Zr 0.000 0.000 0.500
3 Co 0.500 0.500 0.000
4 Co 0.500 0.500 0.324

--- 2 ---
Computed, not measured: Hf2ZrCo3 after structural relaxation at the PBE level of DFT.

Output
Size of the total moment: 0.122 μB per atom

Unit cell a=4.474 b=13.498 c=3.135 alpha=90.00 beta=90.00 gamma=90.00
Space group Pmmn (No. 59, origin choice 2)
One atom of each set of equivalent atoms:
1 Hf 0.250 0.083 0.000
2 Zr 0.250 0.750 0.001
3 Co 0.250 0.250 0.499
4 Co 0.250 0.578 0.500

Short version: 1 is the most stable of them.

--- 1 ---
Computed, not measured: Hf3ZrCo after structural relaxation at the PBE level of DFT.

Output
Size of the total moment: 0.000 μB per atom

Unit cell a=8.902 b=13.750 c=3.302 alpha=90.00 beta=90.00 gamma=90.00
Space group Cmmm (No. 65)
One atom of each set of equivalent atoms:
1 Hf 0.000 0.000 0.000
2 Hf 0.000 0.500 0.500
3 Hf 0.195 0.142 0.500
4 Zr 0.000 0.301 0.000
5 Co 0.217 0.500 0.000

--- 2 ---
Computed, not measured: Hf3ZrCo after structural relaxation at the PBE level of DFT.

Output
Size of the total moment: 0.000 μB per atom

Unit cell a=4.797 b=4.797 c=4.797 alpha=90.00 beta=90.00 gamma=90.00
Space group Pm-3m (No. 221)
One atom of each set of equivalent atoms:
1 Hf 0.000 0.000 0.500
2 Zr 0.500 0.500 0.500
3 Co 0.000 0.000 0.000

Short version: 1 is the most stable of them.

--- 1 ---
Computed, not measured: Hf3ZrCo after structural relaxation at the PBE level of DFT.

Output
Size of the total moment: 0.000 μB per atom

Unit cell a=6.731 b=9.384 c=6.744 alpha=90.00 beta=90.00 gamma=90.00
Space group Imma (No. 74)
One atom of each set of equivalent atoms:
1 Hf 0.000 0.250 0.024
2 Hf 0.250 0.014 0.250
3 Zr 0.000 0.250 0.471
4 Co 0.250 0.250 0.750

--- 2 ---
Computed, not measured: Hf3ZrCo after structural relaxation at the PBE level of DFT.

Output
Size of the total moment: 0.000 μB per atom

Unit cell a=5.012 b=5.012 c=5.012 alpha=90.00 beta=90.00 gamma=90.00
Space group Pm-3m (No. 221)
One atom of each set of equivalent atoms:
1 Hf 0.000 0.000 0.500
2 Zr 0.000 0.000 0.000
3 Co 0.500 0.500 0.500

Short version: 1 is the most stable of them.

--- 1 ---
Computed, not measured: Hf6Zr2Co after structural relaxation at the PBE level of DFT.

Output
Size of the total moment: 0.000 μB per atom

Unit cell a=8.2342 b=8.2342 c=3.2692 alpha=90.00 beta=90.00 gamma=120.00
Space group P-62m (No. 189)
One atom of each set of equivalent atoms:
1 Hf 0.0000 0.3848 0.0000
2 Hf 0.0000 0.7566 0.5000
3 Zr 0.3333 0.6667 0.5000
4 Co 0.0000 0.0000 0.0000

--- 2 ---
Computed, not measured: Hf6Zr2Co after structural relaxation at the PBE level of DFT.

Output
Size of the total moment: 0.048 μB per atom

Unit cell a=8.232 b=15.456 c=3.110 alpha=90.00 beta=90.00 gamma=90.00
Space group Cmmm (No. 65)
One atom of each set of equivalent atoms:
1 Hf 0.173 0.165 0.000
2 Hf 0.235 0.500 0.500
3 Zr 0.000 0.329 0.500
4 Co 0.000 0.000 0.000

Short version: 1 is the most stable of them.

--- 1 ---
Computed, not measured: CoHg3 after structural relaxation at the PBE level of DFT.

Output
Size of the total moment: 0.413 μB per atom

Unit cell a=6.807 b=6.807 c=6.807 alpha=90.00 beta=90.00 gamma=90.00
Space group Fm-3m (No. 225)
One atom of each set of equivalent atoms:
1 Co 0.000 0.000 0.000
2 Hg 0.000 0.000 0.500
3 Hg 0.250 0.250 0.250

--- 2 ---
Computed, not measured: CoHg3 after structural relaxation at the PBE level of DFT.

Output
Size of the total moment: 0.338 μB per atom

Unit cell a=2.921 b=4.416 c=7.339 alpha=90.00 beta=90.00 gamma=90.00
Space group Pmm2 (No. 25)
One atom of each set of equivalent atoms:
1 Co 0.000 0.000 0.000
2 Hg 0.000 0.500 0.436
3 Hg 0.500 0.000 0.689
4 Hg 0.500 0.500 0.043

--- 3 ---
Computed, not measured: CoHg3 after structural relaxation at the PBE level of DFT.

Output
Size of the total moment: 0.304 μB per atom

Unit cell a=3.032 b=3.032 c=8.812 alpha=90.00 beta=90.00 gamma=90.00
Space group P4/mmm (No. 123)
One atom of each set of equivalent atoms:
1 Co 0.000 0.000 0.000
2 Hg 0.000 0.000 0.500
3 Hg 0.500 0.500 0.199

--- 4 ---
Computed, not measured: CoHg3 after structural relaxation at the PBE level of DFT.

Output
Size of the total moment: 0.373 μB per atom

Unit cell a=6.3984 b=6.3984 c=4.4619 alpha=90.00 beta=90.00 gamma=120.00
Space group P6_3/mmc (No. 194)
One atom of each set of equivalent atoms:
1 Co 0.3333 0.6667 0.2500
2 Hg 0.1763 0.3527 0.7500

Short version: 3 is the most stable of them.

--- 1 ---
Computed, not measured: Ho4CoHg2 after structural relaxation at the PBE level of DFT.

Output
Size of the total moment: 0.000 μB per atom

Unit cell a=6.430 b=3.672 c=8.608 alpha=90.00 beta=110.74 gamma=90.00
Space group P2/m (No. 10)
One atom of each set of equivalent atoms:
1 Ho 0.120 0.000 0.246
2 Ho 0.305 0.500 0.641
3 Co 0.000 0.000 0.500
4 Hg 0.274 0.500 0.009

--- 2 ---
Computed, not measured: Ho4CoHg2 after structural relaxation at the PBE level of DFT.

Output
Size of the total moment: 0.000 μB per atom

Unit cell a=5.027 b=5.027 c=15.221 alpha=90.00 beta=90.00 gamma=90.00
Space group I4/mmm (No. 139)
One atom of each set of equivalent atoms:
1 Ho 0.000 0.000 0.175
2 Ho 0.000 0.500 0.000
3 Co 0.000 0.000 0.000
4 Hg 0.000 0.000 0.371

Short version: 1 is the most stable of them.

--- 1 ---
Computed, not measured: Ho4CoHg after structural relaxation at the PBE level of DFT.

Output
Size of the total moment: 0.000 μB per atom

Unit cell a=7.137 b=6.893 c=6.809 alpha=90.00 beta=93.97 gamma=90.00
Space group P2_1/c (No. 14)
One atom of each set of equivalent atoms:
1 Ho 0.140 0.162 0.187
2 Ho 0.309 0.644 0.117
3 Co 0.000 0.000 0.500
4 Hg 0.500 0.000 0.000

--- 2 ---
Computed, not measured: Ho4CoHg after structural relaxation at the PBE level of DFT.

Output
Size of the total moment: 0.000 μB per atom

Unit cell a=13.308 b=13.308 c=13.308 alpha=90.00 beta=90.00 gamma=90.00
Space group F-43m (No. 216)
One atom of each set of equivalent atoms:
1 Ho 0.000 0.000 0.189
2 Ho 0.061 0.250 0.250
3 Ho 0.098 0.098 0.598
4 Co 0.109 0.109 0.391
5 Hg 0.166 0.166 0.834

Short version: 2 is the most stable of them.

--- 1 ---
Computed, not measured: NbCoHgI after structural relaxation at the PBE level of DFT.

Output
Size of the total moment: 0.000 μB per atom

Unit cell a=3.6166 b=3.6166 c=24.0416 alpha=90.00 beta=90.00 gamma=120.00
Space group R3m (No. 160, hexagonal axes)
One atom of each set of equivalent atoms:
1 Nb 0.0000 0.0000 0.0000
2 Co 0.0000 0.0000 0.2827
3 Hg 0.0000 0.0000 0.5445
4 I 0.0000 0.0000 0.7538

--- 2 ---
Computed, not measured: NbCoHgI after structural relaxation at the PBE level of DFT.

Output
Size of the total moment: 0.000 μB per atom

Unit cell a=3.543 b=3.544 c=8.736 alpha=91.04 beta=100.43 gamma=119.93
Space group P1 (No. 1)
One atom of each set of equivalent atoms:
1 Nb 0.000 0.000 0.000
2 Co 0.236 0.611 0.845
3 Hg 0.439 0.203 0.635
4 I 0.487 0.755 0.247

Short version: 1 is the most stable of them.